5
Lattice="-2.770 -2.791 -1.076 3.583 -3.018 -1.396 0.133 -1.580 3.756" Properties=species:S:1:pos:R:3 comment="YTaMnO2, relaxed, DFT PBE with a Hubbard U" total_energy_ev_per_atom=-7.0594 m_tot_mub_per_fu=2.38 dos_at_fermi_per_ev_cell=4.41 pbc="T T T"
Mn 0.000 0.000 0.000
O 0.066 -0.790 1.878
O -1.385 -1.396 -0.538
Y 0.473 -3.695 0.642
Ta 1.792 -1.509 -0.698